(1)
The following is a DFT calculation (GGA-PBEsol) of crystalline CrCd2Co at its relaxed geometry.

```
CrCd2Co
1.0
1.383 0.799 9.125
-1.383 0.799 9.125
0.000 -1.597 9.125
Cr Cd Co
1 2 1
Cartesian
0.000 0.000 0.000
0.000 0.000 14.297
0.000 0.000 20.636
0.000 0.000 7.452
```

Formation energy ... 391 meV/atom
Relative energy among the computed polymorphs ... 150 meV/atom

***

(2)
The following is a DFT calculation (GGA-PBEsol) of crystalline BaY2In2 at its relaxed geometry.

```
BaY2In2
1.0
9.287 0.000 0.000
0.000 9.287 0.000
0.000 0.000 3.432
Ba Y In
2 4 4
Cartesian
0.000 0.000 0.000
4.643 4.643 0.000
1.165 3.479 0.000
3.479 8.122 0.000
5.808 1.165 0.000
8.122 5.808 0.000
1.593 6.237 1.716
3.050 1.593 1.716
6.237 7.694 1.716
7.694 3.050 1.716
```

Formation energy ... -387 meV/atom

***

(3)
The following is a DFT calculation (GGA-PBEsol) of crystalline ZrTaMn2 at its relaxed geometry.

```
ZrTaMn2
1.0
2.983 0.000 0.000
0.000 4.030 0.000
0.000 0.000 5.104
Zr Ta Mn
1 1 2
Cartesian
0.000 0.000 0.000
1.492 2.015 3.291
0.000 0.000 2.518
1.492 2.015 0.852
```

Formation energy ... 328 meV/atom

***

(4)
The following is a DFT calculation (GGA-PBEsol) of crystalline MgHgSb2 at its relaxed geometry.

```
MgHgSb2
1.0
3.106 0.000 0.000
0.000 4.076 0.000
-0.495 0.000 8.016
Mg Hg Sb
1 1 2
Cartesian
0.000 0.000 0.000
1.306 0.000 4.008
1.065 2.038 6.247
1.546 2.038 1.770
```

Relative energy among the computed polymorphs ... 0 meV/atom

***

(5)
The following is a DFT calculation (GGA-PBEsol) of crystalline SiNi2Pb at its relaxed geometry.

```
SiNi2Pb
1.0
4.285 0.000 0.000
0.000 4.285 0.000
0.000 0.000 3.147
Si Ni Pb
1 2 1
Cartesian
0.000 0.000 0.000
0.000 2.142 1.574
2.142 0.000 1.574
2.142 2.142 0.000
```

Relative energy among the computed polymorphs ... 382 meV/atom

***

(6)
The following is a DFT calculation (GGA-PBEsol) of crystalline Ba3MoO at its relaxed geometry.

```
Ba3MoO
1.0
5.616 0.000 0.000
0.000 5.616 0.000
0.000 0.000 5.616
Ba Mo O
3 1 1
Cartesian
0.000 0.000 2.808
0.000 2.808 0.000
2.808 0.000 0.000
0.000 0.000 0.000
2.808 2.808 2.808
```

***

| no. | calculated total energy (Ry per atom) |
| --- | --- |
| 1 | -0.346 |
| 2 | -0.348 |
| 3 | -0.732 |
| 4 | -0.213 |
| 5 | -0.389 |
| 6 | -0.298 |